<P>
## CrGa2MoO (PBE with a Hubbard U)

Data for a relaxed structure of CrGa2MoO.

a b c (Å): 4.8010 4.7960 4.8010
angles (deg): 90.00 90.00 90.00
With the nearest neighbours (Å) after each atom.
Sites, in units of the cell vectors:
O 0.5000 0.5000 0.5000  8 Ga 3.39, 4 Mo 3.39
Ga 0.5000 0.0000 0.0000  2 Cr 2.40
Ga 0.0000 0.0000 0.5000  2 Cr 2.40
Cr 0.0000 0.0000 0.0000  2 Mo 2.40, 4 Ga 2.40
Mo 0.0000 0.5000 0.0000  2 Cr 2.40

## Properties
magnetization	2.37	μB per cell
space group	P4/mmm



<Q>
## CrGa2MoO (PBE with a Hubbard U)

Data for a relaxed structure of CrGa2MoO.

a b c (Å): 5.2741 3.5587 5.2741
angles (deg): 90.00 90.00 90.00
With the nearest neighbours (Å) after each atom.
Sites, in units of the cell vectors:
Mo 0.5000 0.5000 0.5000  8 Ga 3.18, 2 Mo 3.56
Ga 0.0000 0.0000 0.5000  2 Cr 2.64
Cr 0.0000 0.0000 0.0000  2 O 1.78
O 0.0000 0.5000 0.0000  2 Cr 1.78
Ga 0.5000 0.0000 0.0000  2 Cr 2.64

## Properties
magnetization	7.26	μB per cell
space group	P4/mmm



Energy comparison, zero being the most stable, in meV/atom: <P> 1002; <Q> 0.